# 1
Compound: HfZnSeBr2
Source: the Alexandria database
Functional: PBE
Structure: optimized geometry

Output
The energy relative to the lowest polymorph listed for this composition comes out at 0.0 kJ per mole of atoms. As for the symmetry: No. 123. The calculation puts the density of states at the Fermi level at 1.78 states/eV/f.u. The formation energy (no corrections) is -0.61 eV per atom. The calculation puts the total magnetization at 0.00 μB per atom.

Unit cell a=5.3724 b=5.3724 c=5.1181 alpha=90.00 beta=90.00 gamma=90.00
Closest atoms and distances in Å follow each position.
Element x y z (fractional)
Hf 0.0000 0.0000 0.0000  2 Se 2.56, 4 Br 2.69
Zn 0.5000 0.5000 0.5000  8 Br 3.71, 4 Se 3.80
Se 0.0000 0.0000 0.5000  2 Hf 2.56
Br 0.0000 0.5000 0.0000  2 Hf 2.69
Br 0.5000 0.0000 0.0000  2 Hf 2.69


# 2
Compound: HfZnSeBr2
Source: the Alexandria database
Functional: PBE
Structure: optimized geometry

Output
The energy relative to the lowest polymorph listed for this composition comes out at 77.0 kJ per mole of atoms. As for the symmetry: No. 123. The calculation puts the density of states at the Fermi level at 4.08 states/eV/f.u. The formation energy (no corrections) is 0.19 eV per atom. The calculation puts the total magnetization at 0.32 μB per atom.

Unit cell a=4.9223 b=4.9223 c=5.1264 alpha=90.00 beta=90.00 gamma=90.00
Closest atoms and distances in Å follow each position.
Element x y z (fractional)
Hf 0.0000 0.0000 0.0000  4 Se 3.48, 8 Br 3.55
Zn 0.5000 0.5000 0.5000  4 Br 2.46, 2 Se 2.56
Se 0.5000 0.5000 0.0000  2 Zn 2.56
Br 0.0000 0.5000 0.5000  2 Zn 2.46
Br 0.5000 0.0000 0.5000  2 Zn 2.46


# 3
Compound: HfSiBr2
Source: the Alexandria database
Functional: PBE
Structure: optimized geometry

Output
The energy relative to the lowest polymorph listed for this composition comes out at 0.0 kJ per mole of atoms. As for the symmetry: No. 166. The calculation puts the density of states at the Fermi level at 2.11 states/eV/f.u. The formation energy (no corrections) is -0.17 eV per atom. The calculation puts the total magnetization at 0.00 μB per atom.

Unit cell a=10.2334 b=10.2334 c=10.2334 alpha=18.71 beta=18.71 gamma=18.71
Closest atoms and distances in Å follow each position.
Element x y z (fractional)
Hf 0.0000 0.0000 0.0000  6 Br 2.75
Si 0.5000 0.5000 0.5000  2 Br 3.06, 6 Si 3.33
Br 0.3985 0.3985 0.3985  3 Hf 2.75, 1 Si 3.06
Br 0.6015 0.6015 0.6015  3 Hf 2.75, 1 Si 3.06


# 4
Compound: HfSiBr2
Source: the Alexandria database
Functional: PBE
Structure: optimized geometry

Output
The energy relative to the lowest polymorph listed for this composition comes out at 42.0 kJ per mole of atoms. As for the symmetry: No. 225. The calculation puts the density of states at the Fermi level at 2.96 states/eV/f.u. The formation energy (no corrections) is 0.26 eV per atom. The calculation puts the total magnetization at 0.00 μB per atom.

Unit cell a=4.8354 b=4.8354 c=4.8354 alpha=60.00 beta=60.00 gamma=60.00
Closest atoms and distances in Å follow each position.
Element x y z (fractional)
Hf 0.0000 0.0000 0.0000  8 Br 2.96
Si 0.5000 0.5000 0.5000  8 Br 2.96
Br 0.2500 0.2500 0.2500  4 Hf 2.96, 4 Si 2.96
Br 0.7500 0.7500 0.7500  4 Hf 2.96, 4 Si 2.96


# 5
Compound: HfSiBr2
Source: the Alexandria database
Functional: PBE
Structure: optimized geometry

Output
The energy relative to the lowest polymorph listed for this composition comes out at 8.1 kJ per mole of atoms. As for the symmetry: No. 122. The calculation puts the density of states at the Fermi level at 3.91 states/eV/f.u. The formation energy (no corrections) is -0.09 eV per atom. The calculation puts the total magnetization at 0.24 μB per atom.

Unit cell a=7.3165 b=7.3165 c=7.3165 alpha=97.42 beta=97.42 gamma=137.88
Closest atoms and distances in Å follow each position.
Element x y z (fractional)
Hf 0.0000 0.0000 0.0000  2 Si 2.63, 4 Br 2.70
Hf 0.7500 0.2500 0.5000  2 Si 2.63, 4 Br 2.70
Si 0.2500 0.7500 0.5000  2 Hf 2.63
Si 0.5000 0.5000 0.0000  2 Hf 2.63
Br 0.3750 0.2288 0.3538  2 Hf 2.70
Br 0.7712 0.1250 0.1462  2 Hf 2.70
Br 0.8750 0.0212 0.6462  2 Hf 2.70
Br 0.9788 0.6250 0.8538  2 Hf 2.70


# 6
Compound: HfZr2SiBr
Source: the Alexandria database
Functional: PBE
Structure: optimized geometry

Output
As for the symmetry: No. 123. The calculation puts the density of states at the Fermi level at 6.86 states/eV/f.u. The formation energy (no corrections) is 1.09 eV per atom. The calculation puts the total magnetization at 0.00 μB per atom.

Unit cell a=5.3599 b=5.3599 c=4.8428 alpha=90.00 beta=90.00 gamma=90.00
Closest atoms and distances in Å follow each position.
Element x y z (fractional)
Hf 0.0000 0.0000 0.0000  2 Br 2.42, 4 Zr 2.68
Zr 0.0000 0.5000 0.0000  2 Hf 2.68
Zr 0.5000 0.0000 0.0000  2 Hf 2.68
Si 0.5000 0.5000 0.5000  8 Zr 3.61, 4 Br 3.79
Br 0.0000 0.0000 0.5000  2 Hf 2.42